Here is an optimized crystal structure of K2Pa2AgSe6 from the Alexandria database. Energies are from PBE.

a = 7.3074 Å, b = 7.3074 Å, c = 8.1615 Å
α = 97.42°, β = 97.42°, γ = 122.15°
Fractional positions:
K  0.1564  0.8436  0.0000
K  0.8436  0.1564  0.0000
Pa  0.3363  0.6637  0.5000
Pa  0.6637  0.3363  0.5000
Ag  0.0000  0.0000  0.5000
Se  0.0577  0.4218  0.7042
Se  0.2782  0.2782  0.3031
Se  0.4218  0.0577  0.7042
Se  0.5782  0.9423  0.2958
Se  0.7218  0.7218  0.6969
Se  0.9423  0.5782  0.2958

Results
D(E_F) (states/eV/f.u.): 8.58
Theoretical density (g/cm3): 5.239
Crystal system: monoclinic
ΔE_f (raw) (kJ/mol of atoms): -117.28
Total magnetization (μB per formula unit): 1.05